# 1
A plane-wave DFT calculation with PBE-GGA was carried out for a relaxed structure of LiPaTaO6.

a = 5.224 Å, b = 5.224 Å, c = 4.840 Å
α = 90.00°, β = 90.00°, γ = 120.00°
Fractional positions:
Li  0.000  0.000  0.000
Pa  0.333  0.667  0.500
Ta  0.667  0.333  0.000
O  0.356  0.015  0.234
O  0.356  0.341  0.766
O  0.659  0.015  0.766
O  0.659  0.644  0.234
O  0.985  0.341  0.234
O  0.985  0.644  0.766

Its density is 7.5 g/cm3. The value obtained for the spin magnetization is 0.650 μB per cell. The calculation puts the formation energy from raw total energies at -2.750 eV/atom. The space group is P312.


# 2
A plane-wave DFT calculation with PBE-GGA was carried out for a relaxed structure of La2NdLu.

a = 5.178 Å, b = 5.178 Å, c = 5.121 Å
α = 90.00°, β = 90.00°, γ = 90.00°
Fractional positions:
La  0.000  0.500  0.000
La  0.500  0.000  0.000
Nd  0.000  0.000  0.500
Lu  0.500  0.500  0.500

Its density is 7.2 g/cm3. Its formation energy from the elements is 13 meV per atom. The value obtained for the spin magnetization is 0.003 μB per cell. The value obtained for the energy above the lowest structure with this stoichiometry is 0 meV/atom. The space group is P4/mmm.